A plane-wave DFT calculation with PBE was carried out for Mn2ReMoAu after structural relaxation.

Energy above the most stable polymorph in this dataset in meV/atom: 0
N(E_F) in states/eV/atom: 0.9286
Total magnetic moment in μB per atom: 1.16
Formation energy in eV/f.u.: 6.666
Symmetry: P4/mmm, No. 123

abc: 4.639 4.639 4.726
angles: 90.00 90.00 90.00
Sites, in units of the cell vectors:
Mn: 0.000 0.500 0.000
Mn: 0.500 0.000 0.000
Re: 0.000 0.000 0.000
Mo: 0.000 0.000 0.500
Au: 0.500 0.500 0.500

A plane-wave DFT calculation with PBE was carried out for MnMoAu2S after structural relaxation.

N(E_F) in states/eV/atom: 0.9600
Total magnetic moment in μB per atom: 0.91
Raw formation energy in eV/atom: 0.74
Symmetry: P4/mmm, No. 123

abc: 5.182 5.182 4.425
angles: 90.00 90.00 90.00
Sites, in units of the cell vectors:
Mn: 0.000 0.000 0.000
Mo: 0.500 0.500 0.500
Au: 0.000 0.500 0.500
Au: 0.500 0.000 0.500
S: 0.500 0.500 0.000

A plane-wave DFT calculation with PBE was carried out for Ti2MnMoAu after structural relaxation.

N(E_F) in states/eV/atom: 1.1713
Total magnetic moment in μB per atom: 0.71
Formation energy in eV/f.u.: 6.945
Symmetry: P4/mmm, No. 123

abc: 4.808 4.808 5.045
angles: 90.00 90.00 90.00
Sites, in units of the cell vectors:
Ti: 0.000 0.500 0.000
Ti: 0.500 0.000 0.000
Mn: 0.000 0.000 0.500
Mo: 0.500 0.500 0.500
Au: 0.500 0.500 0.000

Number 3 is which compound?
Ti2MnMoAu